## TaNbN3 (PBE)

Data for TaNbN3 after structural relaxation.

Cell lengths 3.971, 3.971, 3.971 Å; angles 90.00, 90.00, 90.00 degrees
Atoms (fractional coordinates):
Ta  0.000  0.000  0.000
Nb  0.500  0.500  0.500
N  0.000  0.500  0.500
N  0.500  0.000  0.500
N  0.500  0.500  0.000

## Properties
calculated density	8.37	g/cm³
E_form (uncorrected)	0.581	eV per atom